1.
VASP calculation (SCAN) on a PBEsol-optimized structure of Y8In2Co.

Values from the calculation:
ΔH_f (0 K) (kcal/mol of atoms): -5.376
DOS(E_F) (states/eV/cell): 8.76

Geometry as CIF:
```
data_Y8In2Co
_chemical_formula_sum 'Y8 In2 Co1'
_symmetry_space_group_name_H-M 'P 4/m m m'
_symmetry_Int_Tables_number 123
_symmetry_space_group_name_Hall '-P 4 2'
_cell_length_a 4.694
_cell_length_b 4.694
_cell_length_c 13.144
_cell_angle_alpha 90.00
_cell_angle_beta 90.00
_cell_angle_gamma 90.00
loop_
_atom_site_label
_atom_site_type_symbol
_atom_site_fract_x
_atom_site_fract_y
_atom_site_fract_z
_atom_site_occupancy
Y1 Y 0.000 0.000 0.186 1
Y2 Y 0.000 0.500 0.000 1
Y3 Y 0.000 0.500 0.378 1
In1 In 0.500 0.500 0.183 1
Co1 Co 0.500 0.500 0.500 1
```

***

2.
VASP calculation (SCAN) on a PBEsol-optimized structure of Y6InCo2.

Values from the calculation:
ΔH_f (0 K) (kcal/mol of atoms): -6.246
DOS(E_F) (states/eV/cell): 26.06

Geometry as CIF:
```
data_Y6InCo2
_chemical_formula_sum 'Y24 In4 Co8'
_symmetry_space_group_name_H-M 'I m m m'
_symmetry_Int_Tables_number 71
_symmetry_space_group_name_Hall '-I 2 2'
_cell_length_a 9.319
_cell_length_b 9.485
_cell_length_c 9.868
_cell_angle_alpha 90.00
_cell_angle_beta 90.00
_cell_angle_gamma 90.00
loop_
_atom_site_label
_atom_site_type_symbol
_atom_site_fract_x
_atom_site_fract_y
_atom_site_fract_z
_atom_site_occupancy
Y1 Y 0.000 0.211 0.231 1
Y2 Y 0.197 0.500 0.186 1
Y3 Y 0.212 0.312 0.500 1
In1 In 0.000 0.000 0.000 1
In2 In 0.000 0.000 0.500 1
Co1 Co 0.000 0.380 0.000 1
Co2 Co 0.000 0.500 0.389 1
```

***

3.
VASP calculation (SCAN) on a PBEsol-optimized structure of Y8In3Co.

Values from the calculation:
ΔH_f (0 K) (kcal/mol of atoms): -10.970
DOS(E_F) (states/eV/cell): 5.47

Geometry as CIF:
```
data_Y8In3Co
_chemical_formula_sum 'Y16 In6 Co2'
_symmetry_space_group_name_H-M 'P 63 m c'
_symmetry_Int_Tables_number 186
_symmetry_space_group_name_Hall 'P 6c -2c'
_cell_length_a 10.2346
_cell_length_b 10.2346
_cell_length_c 6.9141
_cell_angle_alpha 90.00
_cell_angle_beta 90.00
_cell_angle_gamma 120.00
loop_
_atom_site_label
_atom_site_type_symbol
_atom_site_fract_x
_atom_site_fract_y
_atom_site_fract_z
_atom_site_occupancy
Y1 Y 0.0000 0.0000 0.0114 1
Y2 Y 0.0705 0.5352 0.0000 1
Y3 Y 0.1777 0.3554 0.2916 1
Y4 Y 0.3333 0.6667 0.6094 1
In1 In 0.1631 0.3261 0.7525 1
Co1 Co 0.3333 0.6667 0.2227 1
```

***

4.
VASP calculation (SCAN) on a PBEsol-optimized structure of YInCo2.

Values from the calculation:
ΔH_f (0 K) (kcal/mol of atoms): 0.571
DOS(E_F) (states/eV/cell): 3.73

Geometry as CIF:
```
data_YInCo2
_chemical_formula_sum 'Y2 In2 Co4'
_symmetry_space_group_name_H-M 'I m m 2'
_symmetry_Int_Tables_number 44
_cell_length_a 3.151
_cell_length_b 4.374
_cell_length_c 9.560
_cell_angle_alpha 90.00
_cell_angle_beta 90.00
_cell_angle_gamma 90.00
loop_
_symmetry_equiv_pos_as_xyz
'x,y,z'
'-x,-y,z'
'-x,y,z'
'x,-y,z'
'x+1/2,y+1/2,z+1/2'
'-x+1/2,-y+1/2,z+1/2'
'-x+1/2,y+1/2,z+1/2'
'x+1/2,-y+1/2,z+1/2'
loop_
_atom_site_label
_atom_site_type_symbol
_atom_site_fract_x
_atom_site_fract_y
_atom_site_fract_z
_atom_site_occupancy
Y1 Y 0.000 0.000 0.000 1
In1 In 0.000 0.500 0.220 1
Co1 Co 0.000 0.000 0.475 1
Co2 Co 0.000 0.500 0.779 1
```

***

5.
VASP calculation (SCAN) on a PBEsol-optimized structure of Y3In8Co.

Values from the calculation:
ΔH_f (0 K) (kcal/mol of atoms): -9.383
DOS(E_F) (states/eV/cell): 13.28

Geometry as CIF:
```
data_Y3In8Co
_chemical_formula_sum 'Y6 In16 Co2'
_symmetry_space_group_name_H-M 'P 63 m c'
_symmetry_Int_Tables_number 186
_symmetry_space_group_name_Hall 'P 6c -2c'
_cell_length_a 9.8186
_cell_length_b 9.8186
_cell_length_c 6.4379
_cell_angle_alpha 90.00
_cell_angle_beta 90.00
_cell_angle_gamma 120.00
loop_
_atom_site_label
_atom_site_type_symbol
_atom_site_fract_x
_atom_site_fract_y
_atom_site_fract_z
_atom_site_occupancy
Y1 Y 0.1594 0.3189 0.0000 1
In1 In 0.0000 0.0000 0.2491 1
In2 In 0.0219 0.5110 0.7689 1
In3 In 0.2045 0.4089 0.5010 1
In4 In 0.3333 0.6667 0.1646 1
Co1 Co 0.3333 0.6667 0.7665 1
```

***

6.
VASP calculation (SCAN) on a PBEsol-optimized structure of Y2InCo.

Values from the calculation:
ΔH_f (0 K) (kcal/mol of atoms): -10.496
DOS(E_F) (states/eV/cell): 1.89

Geometry as CIF:
```
data_Y2InCo
_chemical_formula_sum 'Y2 In1 Co1'
_symmetry_space_group_name_H-M 'P 4/m m m'
_symmetry_Int_Tables_number 123
_symmetry_space_group_name_Hall '-P 4 2'
_cell_length_a 3.350
_cell_length_b 3.350
_cell_length_c 7.737
_cell_angle_alpha 90.00
_cell_angle_beta 90.00
_cell_angle_gamma 90.00
loop_
_atom_site_label
_atom_site_type_symbol
_atom_site_fract_x
_atom_site_fract_y
_atom_site_fract_z
_atom_site_occupancy
Y1 Y 0.000 0.000 0.208 1
In1 In 0.500 0.500 0.500 1
Co1 Co 0.500 0.500 0.000 1
```